[1]
ZnCd3 | PBEsol | optimized geometry

Summary:
E_form in eV/atom: 0.058
Space-group type: Pmm2

abc: 2.871 5.016 5.394
angles: 90.00 90.00 90.00
Sites, in units of the cell vectors:
Zn (0.000, 0.666, 0.500)
Cd (0.000, 0.998, 0.000)
Cd (0.500, 0.503, 0.000)
Cd (0.500, 0.166, 0.500)



[2]
ZrCr2InTe | PBEsol | optimized geometry

Summary:
Space-group type: P4/mmm
Formation energy without anion corrections in eV/atom: 1.29

abc: 4.798 4.798 5.534
angles: 90.00 90.00 90.00
Site moments in Bohr magnetons follow the coordinates.
Sites, in units of the cell vectors:
Cr (0.000, 0.500, 0.000)  3.26
Cr (0.500, 0.000, 0.000)  3.26
Te (0.000, 0.000, 0.000)  -0.13
Zr (0.500, 0.500, 0.500)  -0.82
In (0.000, 0.000, 0.500)  -0.04



[3]
Na2RuPbW | PBEsol | optimized geometry

Summary:
E_form in eV/atom: 1.512
Space-group type: P4/mmm

abc: 4.457 5.561 5.561
angles: 90.00 90.00 90.00
Site moments in Bohr magnetons follow the coordinates.
Sites, in units of the cell vectors:
Pb (0.500, 0.500, 0.500)  -0.01
Ru (0.500, 0.000, 0.000)  -0.12
W (0.000, 0.000, 0.000)  0.78
Na (0.000, 0.000, 0.500)  0.01
Na (0.000, 0.500, 0.000)  0.01



Looking at Fermi-level density of states for the records above, in order, we have 1.04; 7.04; 4.57 states/eV per cell.